7
Lattice="3.534 0.000 0.000 0.000 6.002 0.026 0.000 -0.144 6.340" Properties=species:S:1:pos:R:3 comment="SCAN HfCrAgS4, PBEsol geometry" e_form_raw_ev_per_atom=-1.171 de_polymorph_ev_per_fu=0.196 pbc="T T T"
Cr 0.000 3.001 0.013
S 0.000 1.038 1.446
S 1.767 3.904 1.394
S 1.767 1.954 4.971
S 0.000 4.820 4.919
Hf 1.767 0.000 0.000
Ag 0.000 2.929 3.183



28
Lattice="11.070 0.000 0.000 -3.690 10.437 0.000 -3.690 -5.219 9.039" Properties=species:S:1:pos:R:3 comment="SCAN La3PbI3, PBEsol geometry" e_form_raw_ev_per_atom=-1.358 pbc="T T T"
La -0.923 2.693 4.471
La 2.768 3.998 2.308
La 6.378 9.104 2.211
La 2.688 3.970 6.779
La 6.458 5.219 0.097
La 2.768 7.744 4.471
La 6.537 1.333 2.211
La 2.847 7.856 0.049
La -0.923 6.439 2.308
La -0.843 6.467 6.779
La 10.068 2.581 0.049
La 6.458 5.219 4.422
Pb -2.768 3.914 2.260
Pb 4.613 6.523 2.260
Pb 0.923 5.219 4.519
Pb 8.303 0.000 0.000
I -2.768 0.000 8.904
I 0.923 1.188 6.712
I 4.613 -1.188 6.712
I 0.813 -2.648 8.971
I 4.503 -1.227 2.260
I -2.877 3.875 6.846
I 0.923 -2.493 4.587
I 4.613 2.493 4.587
I -2.658 -3.875 6.846
I -2.768 0.000 4.654
I -6.348 2.648 8.971
I 1.032 1.227 2.260



Please write out number 1 again, unchanged.
7
Lattice="3.534 0.000 0.000 0.000 6.002 0.026 0.000 -0.144 6.340" Properties=species:S:1:pos:R:3 comment="SCAN HfCrAgS4, PBEsol geometry" e_form_raw_ev_per_atom=-1.171 de_polymorph_ev_per_fu=0.196 pbc="T T T"
Cr 0.000 3.001 0.013
S 0.000 1.038 1.446
S 1.767 3.904 1.394
S 1.767 1.954 4.971
S 0.000 4.820 4.919
Hf 1.767 0.000 0.000
Ag 0.000 2.929 3.183



What did the second record say?
28
Lattice="11.070 0.000 0.000 -3.690 10.437 0.000 -3.690 -5.219 9.039" Properties=species:S:1:pos:R:3 comment="SCAN La3PbI3, PBEsol geometry" e_form_raw_ev_per_atom=-1.358 pbc="T T T"
La -0.923 2.693 4.471
La 2.768 3.998 2.308
La 6.378 9.104 2.211
La 2.688 3.970 6.779
La 6.458 5.219 0.097
La 2.768 7.744 4.471
La 6.537 1.333 2.211
La 2.847 7.856 0.049
La -0.923 6.439 2.308
La -0.843 6.467 6.779
La 10.068 2.581 0.049
La 6.458 5.219 4.422
Pb -2.768 3.914 2.260
Pb 4.613 6.523 2.260
Pb 0.923 5.219 4.519
Pb 8.303 0.000 0.000
I -2.768 0.000 8.904
I 0.923 1.188 6.712
I 4.613 -1.188 6.712
I 0.813 -2.648 8.971
I 4.503 -1.227 2.260
I -2.877 3.875 6.846
I 0.923 -2.493 4.587
I 4.613 2.493 4.587
I -2.658 -3.875 6.846
I -2.768 0.000 4.654
I -6.348 2.648 8.971
I 1.032 1.227 2.260